Computed, not measured: crystalline ScTl2Ni at its relaxed geometry at the GGA-PBE level of DFT.

a = 6.9425 Å, b = 6.9425 Å, c = 6.9425 Å
α = 90.00°, β = 90.00°, γ = 90.00°
Space group F-43m (No. 216)
Inequivalent atoms, fractional coordinates:
Sc (0.0000, 0.0000, 0.0000) (multiplicity 4)
Tl (0.0000, 0.0000, 0.5000) (multiplicity 4)
Tl (0.2500, 0.2500, 0.2500) (multiplicity 4)
Ni (0.2500, 0.2500, 0.7500) (multiplicity 4)

As for the formation energy: 115 meV per atom. The value obtained for the volume is 83.7 Å³/f.u. Its density of states at the Fermi level is 2.9 states/eV/f.u.